# Dy2Ga3Co (SCAN, PBEsol geometry)
data_Dy2Ga3Co
_space_group_name_H-M_alt 'C 1 m 1'
_space_group_IT_number 8
_space_group_name_Hall 'C -2y'
_cell_length_a 10.099
_cell_length_b 4.193
_cell_length_c 6.937
_cell_angle_alpha 90.00
_cell_angle_beta 131.77
_cell_angle_gamma 90.00
loop_
_atom_site_label
_atom_site_fract_x
_atom_site_fract_y
_atom_site_fract_z
Dy1 0.000 0.000 0.000
Dy2 0.100 0.000 0.604
Ga1 0.198 0.500 0.990
Ga2 0.227 0.500 0.424
Ga3 0.383 0.000 0.217
Co1 0.389 0.000 0.602
# Energy: -331.10 eV per cell
# DFT formation energy: -0.603 eV/atom